A geometry-optimized RbNiGeO2 structure. Source: Alexandria via LeMat-Bulk, functional GGA+U.

Summary:
Space group   P4/mmm
N(E_F)   0.7497 states/eV/atom
Energy relative to the lowest polymorph listed for this composition   0.000 eV/atom

The structure in extended XYZ format:
```
5
Lattice="-2.1440 1.6976 -3.2559 -5.4053 -3.1403 1.9221 -1.0644 3.3210 2.4324" Properties=species:S:1:pos:R:3 pbc="T T T"
Ni -4.3069 0.9391 0.5493
Ge -2.7027 -1.5701 0.9610
O -0.5322 1.6605 1.2162
O -1.0720 0.8488 -1.6279
Rb 0.0000 0.0000 0.0000
```